## CaNbF2 (PBE)

Data for crystalline CaNbF2 at its relaxed geometry.

## Properties
Formation energy (no corrections) in eV per formula unit: -5.28

Lattice parameters (Å, degrees): 3.1261 3.1261 23.3643 90.00 90.00 120.00
With the nearest neighbours (Å) after each atom.
Space group R-3m (No. 166, hexagonal axes)
Inequivalent atoms, fractional coordinates:
Ca  0.0000  0.0000  0.0000 [3 per cell]  2 F 2.31
Nb  0.0000  0.0000  0.5000 [3 per cell]  6 F 2.40
F  0.0000  0.0000  0.0987 [6 per cell]  1 Ca 2.31, 3 Nb 2.40

***

## CoSiRh2 (PBE)

Data for crystalline CoSiRh2 at its relaxed geometry.

## Properties
Formation energy (no corrections) in eV per formula unit: -0.76

Lattice parameters (Å, degrees): 2.7302 2.7302 24.0320 90.00 90.00 120.00
With the nearest neighbours (Å) after each atom.
Space group R3m (No. 160, hexagonal axes)
Inequivalent atoms, fractional coordinates:
Co  0.0000  0.0000  0.0000 [3 per cell]  3 Si 2.35, 3 Rh 2.60
Si  0.0000  0.0000  0.7394 [3 per cell]  3 Co 2.35, 3 Rh 2.44
Rh  0.0000  0.0000  0.2472 [3 per cell]  3 Co 2.60, 9 Rh 2.73-2.82
Rh  0.0000  0.0000  0.4834 [3 per cell]  3 Si 2.44, 6 Rh 2.73

***

## Dy2Pd5 (PBE)

Data for crystalline Dy2Pd5 at its relaxed geometry.

## Properties
Formation energy in eV/atom: -0.8321

Lattice parameters (Å, degrees): 7.0038 12.6879 5.8825 90.00 90.00 90.00
With the nearest neighbours (Å) after each atom.
Space group Cccm (No. 66)
Inequivalent atoms, fractional coordinates:
Dy  0.1955  0.1030  0.0000 [8 per cell]  10 Pd 2.90-3.07
Pd  0.0000  0.2673  0.2500 [8 per cell]  7 Pd 2.77-2.95, 4 Dy 2.90-3.07
Pd  0.0000  0.5000  0.2500 [4 per cell]  8 Pd 2.88-2.95, 4 Dy 2.90
Pd  0.2276  0.1248  0.5000 [8 per cell]  6 Pd 2.77-2.88, 4 Dy 2.90-2.98

***

## TlPtS2Cl (PBE)

Data for crystalline TlPtS2Cl at its relaxed geometry.

## Properties
Formation energy (no corrections) in eV per formula unit: 5.49

Lattice parameters (Å, degrees): 5.1543 5.1543 5.0902 90.00 90.00 90.00
With the nearest neighbours (Å) after each atom.
Space group P4/mmm (No. 123)
Inequivalent atoms, fractional coordinates:
Tl  0.0000  0.0000  0.0000 [1 per cell]  2 Cl 2.55, 4 S 2.58
Pt  0.5000  0.5000  0.5000 [1 per cell]  8 S 3.62, 4 Cl 3.64
S  0.0000  0.5000  0.0000 [2 per cell]  2 Tl 2.58
Cl  0.0000  0.0000  0.5000 [1 per cell]  2 Tl 2.55

***

## TbBOs (PBE)

Data for crystalline TbBOs at its relaxed geometry.

## Properties
Formation energy in eV/atom: -0.3695

Lattice parameters (Å, degrees): 3.6688 3.6688 4.3007 90.00 90.00 120.00
With the nearest neighbours (Å) after each atom.
Space group P-6m2 (No. 187)
Inequivalent atoms, fractional coordinates:
Tb  0.0000  0.0000  0.0000 [1 per cell]  6 Os 3.02, 6 B 3.02
B  0.3333  0.6667  0.5000 [1 per cell]  3 Os 2.12
Os  0.6667  0.3333  0.5000 [1 per cell]  3 B 2.12

***

## Pr8RhPb2 (PBE)

Data for crystalline Pr8RhPb2 at its relaxed geometry.

## Properties
Formation energy in eV/atom: -0.3374

Lattice parameters (Å, degrees): 19.8996 5.0753 7.2138 90.00 102.55 90.00
With the nearest neighbours (Å) after each atom.
Space group C2/m (No. 12)
Inequivalent atoms, fractional coordinates:
Pr  0.0126  0.0000  0.2792 [4 per cell]  2 Rh 3.04, 1 Pr 3.33
Pr  0.0914  0.5000  0.9821 [4 per cell]  2 Pb 3.51, 10 Pr 3.55-3.87, 1 Rh 3.56
Pr  0.1434  0.5000  0.5120 [4 per cell]  1 Rh 2.84
Pr  0.2146  0.0000  0.8312 [4 per cell]  3 Pb 3.34-3.43, 4 Pr 3.51-3.59
Rh  0.0000  0.5000  0.5000 [2 per cell]  6 Pr 2.84-3.04
Pb  0.1824  0.0000  0.2673 [4 per cell]  9 Pr 3.28-3.51

***

## Be2ReAu (PBE)

Data for crystalline Be2ReAu at its relaxed geometry.

## Properties
Formation energy in eV/atom: 0.1986

Lattice parameters (Å, degrees): 2.7309 4.0900 8.9299 90.00 90.00 90.00
With the nearest neighbours (Å) after each atom.
Space group Imm2 (No. 44)
Inequivalent atoms, fractional coordinates:
Be  0.0000  0.0000  0.0000 [2 per cell]  4 Be 2.44-2.73, 4 Au 2.48, 2 Re 2.69
Be  0.0000  0.5000  0.2729 [2 per cell]  4 Be 2.44-2.73, 4 Re 2.46, 2 Au 2.53
Re  0.0000  0.5000  0.7595 [2 per cell]  6 Be 2.46-2.69, 2 Re 2.73
Au  0.0000  0.0000  0.5349 [2 per cell]  6 Be 2.48-2.53, 2 Au 2.73

***

## ScTi2TeMo (PBE)

Data for crystalline ScTi2TeMo at its relaxed geometry.

## Properties
Formation energy (no corrections) in eV per formula unit: 4.20

Lattice parameters (Å, degrees): 4.9376 4.9376 4.9540 90.00 90.00 90.00
With the nearest neighbours (Å) after each atom.
Space group P4/mmm (No. 123)
Inequivalent atoms, fractional coordinates:
Sc  0.0000  0.0000  0.0000 [1 per cell]  4 Mo 3.49, 8 Ti 3.50
Ti  0.0000  0.5000  0.5000 [2 per cell]  2 Te 2.47
Te  0.5000  0.5000  0.5000 [1 per cell]  4 Ti 2.47, 2 Mo 2.48
Mo  0.5000  0.5000  0.0000 [1 per cell]  2 Te 2.48

***

## Hf2TaZn (PBE)

Data for crystalline Hf2TaZn at its relaxed geometry.

## Properties
Formation energy in eV/atom: -0.0480

Lattice parameters (Å, degrees): 3.3285 3.3285 6.9807 90.00 90.00 90.00
With the nearest neighbours (Å) after each atom.
Space group P4/mmm (No. 123)
Inequivalent atoms, fractional coordinates:
Hf  0.0000  0.0000  0.2442 [2 per cell]  4 Zn 2.91, 4 Ta 2.95
Ta  0.5000  0.5000  0.5000 [1 per cell]  8 Hf 2.95
Zn  0.5000  0.5000  0.0000 [1 per cell]  8 Hf 2.91

***

## Cd2PtAu (PBE)

Data for crystalline Cd2PtAu at its relaxed geometry.

## Properties
Formation energy in eV/atom: -0.0815

Lattice parameters (Å, degrees): 4.5529 4.5529 14.0044 90.00 90.00 120.00
With the nearest neighbours (Å) after each atom.
Space group R3m (No. 160, hexagonal axes)
Inequivalent atoms, fractional coordinates:
Cd  0.0000  0.0000  0.0000 [3 per cell]  3 Pt 2.71, 1 Cd 2.89, 3 Au 2.91
Cd  0.0000  0.0000  0.2061 [3 per cell]  3 Pt 2.86, 4 Cd 2.89-3.18, 4 Au 3.03-3.10
Pt  0.0000  0.0000  0.6202 [3 per cell]  6 Cd 2.71-2.86, 1 Au 2.77
Au  0.0000  0.0000  0.4221 [3 per cell]  1 Pt 2.77, 7 Cd 2.91-3.10

***

## Zr2ScCr (PBE)

Data for crystalline Zr2ScCr at its relaxed geometry.

## Properties
Formation energy in eV/atom: 0.2669

Lattice parameters (Å, degrees): 6.7887 6.7887 6.7887 90.00 90.00 90.00
With the nearest neighbours (Å) after each atom.
Space group Fm-3m (No. 225)
Inequivalent atoms, fractional coordinates:
Zr  0.2500  0.2500  0.2500 [8 per cell]  4 Cr 2.94, 4 Sc 2.94
Sc  0.0000  0.0000  0.0000 [4 per cell]  8 Zr 2.94
Cr  0.0000  0.0000  0.5000 [4 per cell]  8 Zr 2.94

***

## ScCrRu2 (PBE)

Data for crystalline ScCrRu2 at its relaxed geometry.

## Properties
Formation energy in eV/atom: 0.1008

Lattice parameters (Å, degrees): 2.8371 3.9983 5.4376 90.00 90.00 90.00
With the nearest neighbours (Å) after each atom.
Space group Pmm2 (No. 25)
Inequivalent atoms, fractional coordinates:
Sc  0.0000  0.0000  0.0000 [1 per cell]  6 Ru 2.69-2.76, 2 Sc 2.84, 4 Cr 2.98
Cr  0.5000  0.5000  0.3130 [1 per cell]  5 Ru 2.48-2.64
Ru  0.0000  0.0000  0.4943 [1 per cell]  4 Cr 2.64, 2 Sc 2.69-2.75, 6 Ru 2.84-2.87
Ru  0.5000  0.5000  0.7682 [1 per cell]  1 Cr 2.48, 4 Sc 2.76

***

no.,E (eV per cell)
1,-63.3
2,-84.0
3,-164.0
4,-13.0
5,-23.6
6,-113.4
7,-44.8
8,-31.9
9,-33.2
10,-34.4
11,-127.9
12,-34.1